Lu2TlMo | OQMD | PBE-GGA | relaxed; raw total energy = -5.24 eV per atom; magnetization = 1.15 μB/f.u.; calculated volume = 88.2 Å³ per cell; SG = F-43m
1.0
-0.9743 -0.3108 4.8902
-1.8714 3.9438 2.4299
-4.7306 -0.0693 1.6052
Lu Mo Tl
2 1 1
Direct
0.0000 0.0000 0.0000
0.7500 0.7500 0.7500
0.2500 0.2500 0.2500
0.5000 0.5000 0.5000